Entry 1:
V2OF8 after structural relaxation, computed with GGA-PBEsol.

Output
The total magnetization is 0.01 μB per cell. As for the uncorrected formation energy: -2680 meV/atom.

a = 8.6448 Å, b = 5.1775 Å, c = 14.5403 Å
α = 90.00°, β = 104.22°, γ = 90.00°
With the nearest neighbours (Å) after each atom.
Sites, in units of the cell vectors:
V  0.0486  0.0677  0.1599  1 O 1.63, 2 F 1.72-1.73
V  0.0486  0.9323  0.6599  1 O 1.63, 2 F 1.72-1.73
V  0.4130  0.2205  0.6218  4 F 1.71-1.74
V  0.4130  0.7795  0.1218  4 F 1.71-1.74
V  0.5870  0.2205  0.8782  4 F 1.71-1.74
V  0.5870  0.7795  0.3782  4 F 1.71-1.74
V  0.9514  0.0677  0.3401  1 O 1.63, 2 F 1.72-1.73
V  0.9514  0.9323  0.8401  1 O 1.63, 2 F 1.72-1.73
O  0.2060  0.0676  0.6386  1 V 1.63
O  0.2060  0.9324  0.1386  1 V 1.63
O  0.7940  0.0676  0.8614  1 V 1.63
O  0.7940  0.9324  0.3614  1 V 1.63
F  0.0000  0.1860  0.7500  2 V 1.97
F  0.0000  0.8140  0.2500  2 V 1.97
F  0.0390  0.3637  0.1047  1 V 1.72
F  0.0390  0.6363  0.6047  1 V 1.72
F  0.1050  0.0794  0.9227  1 V 1.73
F  0.1050  0.9206  0.4227  1 V 1.73
F  0.1425  0.2069  0.2781  1 V 1.86
F  0.1425  0.7931  0.7781  1 V 1.86
F  0.3152  0.3313  0.5121  1 V 1.71
F  0.3152  0.6687  0.0121  1 V 1.71
F  0.3566  0.4759  0.6839  1 V 1.74
F  0.3566  0.5241  0.1839  1 V 1.74
F  0.4010  0.3322  0.8780  1 V 1.71
F  0.4010  0.6678  0.3780  1 V 1.71
F  0.4421  0.0929  0.0862  1 V 1.74
F  0.4421  0.9071  0.5862  1 V 1.74
F  0.5000  0.0777  0.7500  2 V 1.97
F  0.5000  0.9223  0.2500  2 V 1.97
F  0.5579  0.0929  0.4138  1 V 1.74
F  0.5579  0.9071  0.9138  1 V 1.74
F  0.5990  0.3322  0.6220  1 V 1.71
F  0.5990  0.6678  0.1220  1 V 1.71
F  0.6434  0.4759  0.8161  1 V 1.74
F  0.6434  0.5241  0.3161  1 V 1.74
F  0.6848  0.3313  0.9879  1 V 1.71
F  0.6848  0.6687  0.4879  1 V 1.71
F  0.8575  0.2069  0.2219  1 V 1.86
F  0.8575  0.7931  0.7219  1 V 1.86
F  0.8950  0.0794  0.5773  1 V 1.73
F  0.8950  0.9206  0.0773  1 V 1.73
F  0.9610  0.3637  0.3953  1 V 1.72
F  0.9610  0.6363  0.8953  1 V 1.72

=====

Entry 2:
DyMnCrO5 after structural relaxation, computed with GGA-PBEsol.

Output
The total magnetization is 24.00 μB per cell. As for the uncorrected formation energy: -2426 meV/atom.

a = 7.0921 Å, b = 8.4468 Å, c = 5.6947 Å
α = 90.00°, β = 90.00°, γ = 90.00°
With the nearest neighbours (Å) after each atom.
Sites, in units of the cell vectors:
Dy  0.1326  0.1732  0.0000  8 O 2.31-2.42
Dy  0.3674  0.6732  0.0000  8 O 2.31-2.42
Dy  0.6326  0.3268  0.0000  8 O 2.31-2.42
Dy  0.8674  0.8268  0.0000  8 O 2.31-2.42
Mn  0.0961  0.8509  0.5000  5 O 1.89-1.92
Mn  0.4039  0.3509  0.5000  5 O 1.89-1.92
Mn  0.5961  0.6491  0.5000  5 O 1.89-1.92
Mn  0.9039  0.1491  0.5000  5 O 1.89-1.92
Cr  0.0000  0.5000  0.2505  6 O 1.89-1.93
Cr  0.0000  0.5000  0.7495  6 O 1.89-1.93
Cr  0.5000  0.0000  0.2505  6 O 1.89-1.93
Cr  0.5000  0.0000  0.7495  6 O 1.89-1.93
O  0.0000  0.0000  0.2766  2 Mn 1.92
O  0.0000  0.0000  0.7234  2 Mn 1.92
O  0.1095  0.7095  0.2432  1 Mn 1.89, 1 Cr 1.93
O  0.1095  0.7095  0.7568  1 Mn 1.89, 1 Cr 1.93
O  0.1492  0.4230  0.5000  2 Cr 1.89, 1 Mn 1.91
O  0.1702  0.4453  0.0000  2 Cr 1.92
O  0.3298  0.9453  0.0000  2 Cr 1.92
O  0.3508  0.9230  0.5000  2 Cr 1.89, 1 Mn 1.91
O  0.3905  0.2095  0.2432  1 Mn 1.89, 1 Cr 1.93
O  0.3905  0.2095  0.7568  1 Mn 1.89, 1 Cr 1.93
O  0.5000  0.5000  0.2766  2 Mn 1.92
O  0.5000  0.5000  0.7234  2 Mn 1.92
O  0.6095  0.7905  0.2432  1 Mn 1.89, 1 Cr 1.93
O  0.6095  0.7905  0.7568  1 Mn 1.89, 1 Cr 1.93
O  0.6492  0.0770  0.5000  2 Cr 1.89, 1 Mn 1.91
O  0.6702  0.0547  0.0000  2 Cr 1.92
O  0.8298  0.5547  0.0000  2 Cr 1.92
O  0.8508  0.5770  0.5000  2 Cr 1.89, 1 Mn 1.91
O  0.8905  0.2905  0.2432  1 Mn 1.89, 1 Cr 1.93
O  0.8905  0.2905  0.7568  1 Mn 1.89, 1 Cr 1.93

=====

Entry 3:
KGaSi after structural relaxation, computed with GGA-PBEsol.

Output
The total magnetization is 0.00 μB per cell. As for the uncorrected formation energy: -123 meV/atom.

a = 4.1394 Å, b = 4.1394 Å, c = 10.7070 Å
α = 90.00°, β = 90.00°, γ = 120.00°
With the nearest neighbours (Å) after each atom.
Sites, in units of the cell vectors:
K  0.0000  0.0000  0.0000  6 Si 3.59, 6 Ga 3.59
K  0.0000  0.0000  0.5000  6 Si 3.59, 6 Ga 3.59
Ga  0.3333  0.6667  0.2500  3 Si 2.39
Ga  0.6667  0.3333  0.7500  3 Si 2.39
Si  0.3333  0.6667  0.7500  3 Ga 2.39
Si  0.6667  0.3333  0.2500  3 Ga 2.39

=====

Entry 4:
BeFeCo after structural relaxation, computed with GGA-PBEsol.

Output
The total magnetization is 1.87 μB per cell. The value obtained for the formation energy is -144 meV/atom.

a = 4.6499 Å, b = 4.6499 Å, c = 4.6499 Å
α = 148.55°, β = 148.55°, γ = 45.08°
With the nearest neighbours (Å) after each atom.
Sites, in units of the cell vectors:
Be  0.0000  0.0000  0.0000  4 Co 2.22, 4 Fe 2.28
Fe  0.3350  0.3350  0.0000  4 Be 2.28, 4 Co 2.37, 4 Fe 2.52
Co  0.6533  0.6533  0.0000  4 Be 2.22, 4 Fe 2.37

=====

Entry 5:
La3GaH after structural relaxation, computed with GGA-PBEsol.

Output
The total magnetization is 0.02 μB per cell. Its electronic total energy is -3.920 eV/atom.

a = 5.7066 Å, b = 5.7066 Å, c = 5.7066 Å
α = 90.00°, β = 90.00°, γ = 90.00°
With the nearest neighbours (Å) after each atom.
Sites, in units of the cell vectors:
La  0.0000  0.0000  0.5000  2 Ga 2.85
La  0.0000  0.5000  0.0000  2 Ga 2.85
La  0.5000  0.0000  0.0000  2 Ga 2.85
Ga  0.0000  0.0000  0.0000  6 La 2.85
H  0.5000  0.5000  0.5000  12 La 4.04

=====

Entry 6:
LiCuN3 after structural relaxation, computed with GGA-PBEsol.

Output
The total magnetization is 2.72 μB per cell. As for the uncorrected formation energy: 1650 meV/atom.

a = 3.7535 Å, b = 3.7535 Å, c = 3.7535 Å
α = 90.00°, β = 90.00°, γ = 90.00°
With the nearest neighbours (Å) after each atom.
Sites, in units of the cell vectors:
Li  0.0000  0.0000  0.0000  12 N 2.65
Cu  0.5000  0.5000  0.5000  6 N 1.88
N  0.0000  0.5000  0.5000  2 Cu 1.88
N  0.5000  0.0000  0.5000  2 Cu 1.88
N  0.5000  0.5000  0.0000  2 Cu 1.88

=====

Entry 7:
MnZn4S5 after structural relaxation, computed with GGA-PBEsol.

Output
The total magnetization is 10.01 μB per cell. As for the uncorrected formation energy: -712 meV/atom.

a = 3.8027 Å, b = 3.8027 Å, c = 31.2910 Å
α = 90.00°, β = 90.00°, γ = 120.00°
With the nearest neighbours (Å) after each atom.
Sites, in units of the cell vectors:
Mn  0.0000  0.0000  0.0000  4 S 2.37
Mn  0.0000  0.0000  0.2032  4 S 2.37
Zn  0.0000  0.0000  0.4026  4 S 2.32-2.33
Zn  0.0000  0.0000  0.6006  4 S 2.32-2.33
Zn  0.0000  0.0000  0.7984  4 S 2.32-2.33
Zn  0.3333  0.6667  0.1006  4 S 2.32-2.33
Zn  0.3333  0.6667  0.3038  4 S 2.32-2.33
Zn  0.3333  0.6667  0.5016  4 S 2.32-2.33
Zn  0.3333  0.6667  0.6995  4 S 2.32-2.33
Zn  0.3333  0.6667  0.8972  4 S 2.32-2.33
S  0.0000  0.0000  0.0756  3 Zn 2.33, 1 Mn 2.37
S  0.0000  0.0000  0.2788  3 Zn 2.33, 1 Mn 2.37
S  0.0000  0.0000  0.4769  4 Zn 2.32-2.33
S  0.0000  0.0000  0.6748  4 Zn 2.32-2.33
S  0.0000  0.0000  0.8726  4 Zn 2.32-2.33
S  0.3333  0.6667  0.1746  1 Zn 2.32, 3 Mn 2.37
S  0.3333  0.6667  0.3780  4 Zn 2.32-2.33
S  0.3333  0.6667  0.5758  4 Zn 2.32-2.33
S  0.3333  0.6667  0.7737  4 Zn 2.32-2.33
S  0.3333  0.6667  0.9713  1 Zn 2.32, 3 Mn 2.37

=====

Entry 8:
Sr4Ca5 after structural relaxation, computed with GGA-PBEsol.

Output
The total magnetization is 0.11 μB per cell. For the polymorph energy (0 for the lowest one), the calculation gives 0.058 eV per atom. The value obtained for the formation energy is 73 meV/atom.

a = 11.1306 Å, b = 11.1306 Å, c = 7.6574 Å
α = 90.00°, β = 90.00°, γ = 120.00°
With the nearest neighbours (Å) after each atom.
Sites, in units of the cell vectors:
Sr  0.0000  0.0000  0.0000  8 Sr 3.83-4.19, 6 Ca 4.22
Sr  0.0000  0.0000  0.5000  8 Sr 3.83-4.19, 6 Ca 4.22
Sr  0.0000  0.3352  0.2500  5 Ca 3.64-3.83
Sr  0.0000  0.6648  0.7500  5 Ca 3.64-3.83
Sr  0.3352  0.0000  0.2500  5 Ca 3.64-3.83
Sr  0.3352  0.3352  0.7500  5 Ca 3.64-3.83
Sr  0.6648  0.0000  0.7500  5 Ca 3.64-3.83
Sr  0.6648  0.6648  0.2500  5 Ca 3.64-3.83
Ca  0.0000  0.3376  0.7500  5 Sr 3.64-3.83
Ca  0.0000  0.6624  0.2500  5 Sr 3.64-3.83
Ca  0.3333  0.6667  0.0000  8 Ca 3.83-4.15, 6 Sr 4.17
Ca  0.3333  0.6667  0.5000  8 Ca 3.83-4.15, 6 Sr 4.17
Ca  0.3376  0.0000  0.7500  5 Sr 3.64-3.83
Ca  0.3376  0.3376  0.2500  5 Sr 3.64-3.83
Ca  0.6624  0.0000  0.2500  5 Sr 3.64-3.83
Ca  0.6624  0.6624  0.7500  5 Sr 3.64-3.83
Ca  0.6667  0.3333  0.0000  8 Ca 3.83-4.15, 6 Sr 4.17
Ca  0.6667  0.3333  0.5000  8 Ca 3.83-4.15, 6 Sr 4.17